[1]
The following is a GGA-PBE calculation of TcPSO2 after structural relaxation, from the Alexandria database.

The structure in POSCAR format:
```
TcPSO2
1.0
3.693 0.000 0.000
0.000 3.693 0.000
0.000 0.000 5.346
Tc P S O
1 1 1 2
Direct
0.000 0.000 0.000
0.000 0.000 0.500
0.500 0.500 0.500
0.000 0.500 0.000
0.500 0.000 0.000
```

uncorrected formation energy	-12.228	kcal/mol of atoms

[2]
The following is a GGA-PBE calculation of ZrMo2Se after structural relaxation, from the Alexandria database.

The structure in POSCAR format:
```
ZrMo2Se
1.0
1.692 -2.514 0.000
1.692 2.514 0.000
0.000 0.000 8.425
Zr Mo Se
1 2 1
Direct
0.000 0.000 0.000
0.500 0.500 0.269
0.500 0.500 0.731
0.000 0.000 0.500
```

uncorrected formation energy	6.021	kcal/mol of atoms

[3]
The following is a GGA-PBE calculation of BaNa2MgP after structural relaxation, from the Alexandria database.

The structure in POSCAR format:
```
BaNa2MgP
1.0
5.368 0.000 0.000
0.000 5.368 0.000
0.000 0.000 6.646
Ba Na Mg P
1 2 1 1
Direct
0.000 0.000 0.000
0.000 0.500 0.500
0.500 0.000 0.500
0.000 0.000 0.500
0.500 0.500 0.000
```

electronic total energy	-1.86	eV per atom

[4]
The following is a GGA-PBE calculation of CaMg2TlHg2 after structural relaxation, from the Alexandria database.

The structure in POSCAR format:
```
CaMg2TlHg2
1.0
5.082 0.000 0.000
-2.541 4.401 0.000
0.000 0.000 6.541
Ca Mg Tl Hg
1 2 1 2
Direct
0.000 0.000 0.000
0.333 0.667 0.689
0.667 0.333 0.311
0.000 0.000 0.500
0.333 0.667 0.198
0.667 0.333 0.802
```

electronic total energy	-1.66	eV per atom

| no. | volume (Å³/f.u.) |
| --- | --- |
| 1 | 72.9 |
| 2 | 71.7 |
| 3 | 191.5 |
| 4 | 146.3 |